{"formula": "Sr2LiYO", "functional": "PBE", "state": "relaxed", "mass_density_g_cm3": 3.28, "dos_at_fermi_per_ev_atom": 0.757, "raw_formation_energy_ev_per_atom": -0.998, "crystal_system": "tetragonal", "total_energy_ev_per_atom": -4.338, "cell": [[5.702, 0.000, 0.000], [0.000, 5.702, 0.000], [0.000, 0.000, 4.477]], "species": ["Y", "Sr", "Sr", "O", "Li"], "frac_coords": [[0.000, 0.000, 0.500], [0.000, 0.500, 0.000], [0.500, 0.000, 0.000], [0.000, 0.000, 0.000], [0.500, 0.500, 0.500]]}